A geometry-optimized TiTeI3 structure. Source: the Alexandria database, functional GGA-PBE.

Cell: 7.660 15.788 13.876 Å, 90.00 94.70 90.00°
Space group C2/c (No. 15)
One atom of each set of equivalent atoms:
Ti: 0.079 0.066 0.142 (multiplicity 8)
Te: 0.151 0.190 0.307 (multiplicity 8)
I: 0.132 0.089 0.536 (multiplicity 8)
I: 0.147 0.362 0.926 (multiplicity 8)
I: 0.236 0.034 0.792 (multiplicity 8)

raw formation energy = -0.588 eV per atom

=====

A geometry-optimized Sb2PdS2 structure. Source: the Alexandria database, functional GGA-PBE.

Cell: 7.612 7.612 3.696 Å, 90.00 90.00 90.00°
Space group P4/mbm (No. 127)
One atom of each set of equivalent atoms:
Sb: 0.190 0.310 0.000 (multiplicity 4)
Pd: 0.000 0.000 0.500 (multiplicity 2)
S: 0.143 0.643 0.500 (multiplicity 4)

Fermi-level density of states = 0.112 states/eV/atom
raw formation energy = 0.172 eV per atom

=====

A geometry-optimized CaSb2Cl structure. Source: the Alexandria database, functional GGA-PBE.

Cell: 5.668 11.944 3.429 Å, 90.00 90.00 90.00°
Space group Cmmm (No. 65)
One atom of each set of equivalent atoms:
Ca: 0.000 0.000 0.000 (multiplicity 2)
Sb: 0.250 0.250 0.500 (multiplicity 4)
Cl: 0.000 0.500 0.000 (multiplicity 2)

Fermi-level density of states = 0.363 states/eV/atom
raw formation energy = -0.542 eV per atom

=====

Computed VASP energy, in the same sequence as the records: -3.725 -4.167 -3.565 eV per atom.
Computed volume, in the same sequence as the records: 41.813 21.412 29.020 Å³ per atom.
Computed magnetic moment, in the same sequence as the records: 0.000 0.000 0.000 μB/cell.